VASP calculation (PBE) on a relaxed structure of TaTc2Rh.

abc: 2.7507 3.9250 5.7242
angles: 90.00 90.00 90.00
Atoms (fractional coordinates):
Ta: 0.0000 0.0000 0.0000
Tc: 0.5000 0.5000 0.2700
Tc: 0.5000 0.5000 0.7300
Rh: 0.0000 0.0000 0.5000

## Properties
Total moment ... 0.00 μB per cell
Symmetry ... Pmmm
Uncorrected energy ... -10.006 eV/atom
Energy of formation ... -22 meV/atom
Crystal system ... orthorhombic